Entry 1:
The following is a PBE-GGA calculation of a relaxed structure of ErIn3Cu8, from the Alexandria database.

- final energy (eV per atom) = -3.9226
- volume (Å³/cell) = 187.1
- energy of formation from the pure elements (eV/atom) = -0.13
- N(E_F) (states/eV/atom) = 0.249
- total moment (μB per formula unit) = 0.00

a b c (Å): 5.0680 5.0680 8.4123
angles (deg): 90.00 90.00 120.00
Last column: nearest neighbours and their distance in Å.
Space group P3m1 (No. 156)
Asymmetric unit:
Er (0.0000, 0.0000, 0.0000)  12 Cu 2.97-3.05, 4 In 3.13-3.14
In (0.0000, 0.0000, 0.3732)  12 Cu 2.96-2.99, 3 In 3.10, 1 Er 3.14
In (0.6667, 0.3333, 0.4942)  12 Cu 2.97-2.98, 4 In 3.10-3.13
In (0.6667, 0.3333, 0.8666)  12 Cu 2.97-3.05, 1 In 3.13, 3 Er 3.13
Cu (0.1652, 0.3305, 0.6804)  6 Cu 2.51-2.56
Cu (0.3333, 0.6667, 0.4327)  6 Cu 2.55
Cu (0.3333, 0.6667, 0.9277)  6 Cu 2.55-2.62
Cu (0.5007, 0.0013, 0.1850)  6 Cu 2.52-2.62



Entry 2:
The following is a PBE-GGA calculation of a relaxed structure of ThPd4Pt2, from the Alexandria database.

- final energy (eV per atom) = -6.2821
- volume (Å³/cell) = 129.2
- energy of formation from the pure elements (eV/atom) = -0.53
- N(E_F) (states/eV/atom) = 0.602
- total moment (μB per formula unit) = 0.00

a b c (Å): 5.0732 5.2403 5.4599
angles (deg): 99.04 97.08 113.00
Last column: nearest neighbours and their distance in Å.
Space group P-1 (No. 2)
Asymmetric unit:
Th (0.0000, 0.0000, 0.0000)  6 Pd 2.85-2.99, 4 Pt 2.97-2.99
Pd (0.4382, 0.9742, 0.7286)  4 Pd 2.68-2.90, 3 Pt 2.84-2.99, 2 Th 2.85-2.99
Pd (0.5000, 0.5000, 0.0000)  4 Pd 2.73-2.80, 4 Pt 2.77-3.04, 2 Th 2.85
Pd (0.5000, 0.5000, 0.5000)  4 Pt 2.71-3.03, 4 Pd 2.73-2.75
Pt (0.0249, 0.5511, 0.2675)  2 Pt 2.70-2.85, 5 Pd 2.71-2.99, 2 Th 2.97-2.99



Entry 3:
The following is a PBE-GGA calculation of a relaxed structure of BSCl2, from the Alexandria database.

- final energy (eV per atom) = -2.8137
- volume (Å³/cell) = 232.6
- E_form (uncorrected) (eV/atom) = 0.811
- N(E_F) (states/eV/atom) = 0.706
- total moment (μB per formula unit) = 0.09

a b c (Å): 3.0265 3.0265 29.3186
angles (deg): 90.00 90.00 120.00
Last column: nearest neighbours and their distance in Å.
Space group R-3m (No. 166, hexagonal axes)
Asymmetric unit:
B (0.0000, 0.0000, 0.0000)  6 Cl 2.16
S (0.0000, 0.0000, 0.5000)  6 S 3.03
Cl (0.0000, 0.0000, 0.3768)  3 B 2.16



Entry 4:
The following is a PBE-GGA calculation of a relaxed structure of CdPtSe2Cl, from the Alexandria database.

- final energy (eV per atom) = -3.0539
- volume (Å³/cell) = 122.2
- E_form (uncorrected) (eV/atom) = 0.100
- N(E_F) (states/eV/atom) = 0.872
- total moment (μB per formula unit) = 0.00

a b c (Å): 5.0447 5.0447 4.8004
angles (deg): 90.00 90.00 90.00
Last column: nearest neighbours and their distance in Å.
Space group P4/mmm (No. 123)
Asymmetric unit:
Cd (0.0000, 0.0000, 0.0000)  8 Se 3.48, 4 Cl 3.57
Pt (0.5000, 0.5000, 0.5000)  2 Cl 2.40, 4 Se 2.52
Se (0.0000, 0.5000, 0.5000)  2 Pt 2.52
Cl (0.5000, 0.5000, 0.0000)  2 Pt 2.40



Entry 5:
The following is a PBE-GGA calculation of a relaxed structure of LaIrW2, from the Alexandria database.

- final energy (eV per atom) = -9.1193
- volume (Å³/cell) = 72.8
- energy of formation from the pure elements (eV/atom) = 0.80
- N(E_F) (states/eV/atom) = 1.359
- total moment (μB per formula unit) = 0.00

a b c (Å): 4.8157 4.8157 3.1393
angles (deg): 90.00 90.00 90.00
Last column: nearest neighbours and their distance in Å.
Space group P4/mmm (No. 123)
Asymmetric unit:
La (0.0000, 0.0000, 0.0000)  8 W 2.87, 2 La 3.14
Ir (0.5000, 0.5000, 0.0000)  8 W 2.87, 2 Ir 3.14
W (0.0000, 0.5000, 0.5000)  4 La 2.87, 4 Ir 2.87, 2 W 3.14



Entry 6:
The following is a PBE-GGA calculation of a relaxed structure of K3NdTh2Se6, from the Alexandria database.

- final energy (eV per atom) = -5.2640
- volume (Å³/cell) = 741.0
- E_form (uncorrected) (eV/atom) = -1.613
- N(E_F) (states/eV/atom) = 0.602
- total moment (μB per formula unit) = 0.00

a b c (Å): 7.4019 12.8191 8.1903
angles (deg): 90.00 107.53 90.00
Last column: nearest neighbours and their distance in Å.
Space group C2/m (No. 12)
Asymmetric unit:
K (0.0000, 0.0000, 0.0000)  6 Se 3.29-3.33
K (0.0000, 0.3349, 0.0000)  6 Se 3.30-3.33
Nd (0.0000, 0.5000, 0.5000)  6 Se 3.02
Th (0.0000, 0.1668, 0.5000)  6 Se 2.97
Se (0.2328, 0.0000, 0.7159)  2 Th 2.97, 1 Nd 3.02, 3 K 3.29-3.32
Se (0.2417, 0.3304, 0.7161)  2 Th 2.97, 1 Nd 3.02, 1 K 3.30



Entry 7:
The following is a PBE-GGA calculation of a relaxed structure of UTl2Te2I2, from the Alexandria database.

- final energy (eV per atom) = -4.1982
- volume (Å³/cell) = 621.4
- E_form (uncorrected) (eV/atom) = -0.569
- N(E_F) (states/eV/atom) = 0.933
- total moment (μB per formula unit) = 2.00

a b c (Å): 5.9918 5.9918 17.3085
angles (deg): 90.00 90.00 90.00
Last column: nearest neighbours and their distance in Å.
Space group I4/mmm (No. 139)
Asymmetric unit:
U (0.0000, 0.0000, 0.0000)  4 Te 3.00, 2 I 3.03
Tl (0.0000, 0.0000, 0.3835)  1 I 3.61, 4 Te 3.61, 1 Tl 4.03
Te (0.0000, 0.5000, 0.0000)  2 U 3.00
I (0.0000, 0.0000, 0.1751)  1 U 3.03



Entry 8:
The following is a PBE-GGA calculation of a relaxed structure of Ba2Al4AgHg3, from the Alexandria database.

- final energy (eV per atom) = -2.5223
- volume (Å³/cell) = 252.5
- energy of formation from the pure elements (eV/atom) = -0.27
- N(E_F) (states/eV/atom) = 0.706
- total moment (μB per formula unit) = 0.00

a b c (Å): 4.7050 4.7050 11.4049
angles (deg): 90.00 90.00 90.00
Last column: nearest neighbours and their distance in Å.
Space group P-4m2 (No. 115)
Asymmetric unit:
Ba (0.0000, 0.5000, 0.2481)  6 Hg 3.59-3.68, 8 Al 3.62-3.71, 2 Ag 3.68
Al (0.0000, 0.0000, 0.5000)  4 Hg 2.80
Al (0.0000, 0.5000, 0.8768)  2 Ag 2.74, 3 Hg 2.74-2.78
Al (0.5000, 0.5000, 0.5000)  4 Hg 2.80
Ag (0.5000, 0.5000, 0.0000)  4 Al 2.74
Hg (0.0000, 0.0000, 0.0000)  4 Al 2.74
Hg (0.0000, 0.5000, 0.6334)  5 Al 2.78-2.80